Density functional theory data (PBE) for a geometry-optimized CsK2H structure.

## Properties
**E**: -18.91 eV for the cell shown
**Crystal system**: cubic

a b c (Å): 9.6997 9.6997 9.6997
angles (deg): 90.00 90.00 90.00
Space group Fm-3m (No. 225)
One atom of each set of equivalent atoms:
Cs (0.0000, 0.0000, 0.0000) (multiplicity 4)
K (0.2500, 0.2500, 0.2500) (multiplicity 8)
H (0.0000, 0.0000, 0.5000) (multiplicity 4)

***

Density functional theory data (PBE) for a geometry-optimized Y4ThPd5 structure.

## Properties
**Energy relative to the elements**: -0.819 eV per atom
**Crystal system**: tetragonal

a b c (Å): 3.5065 3.5065 18.0583
angles (deg): 90.00 90.00 90.00
Space group P4/mmm (No. 123)
One atom of each set of equivalent atoms:
Y (0.0000, 0.0000, 0.0982) (multiplicity 2)
Y (0.0000, 0.0000, 0.2948) (multiplicity 2)
Th (0.0000, 0.0000, 0.5000) (multiplicity 1)
Pd (0.5000, 0.5000, 0.0000) (multiplicity 1)
Pd (0.5000, 0.5000, 0.1963) (multiplicity 2)
Pd (0.5000, 0.5000, 0.3916) (multiplicity 2)

***

Density functional theory data (PBE) for a geometry-optimized NaMg2Zn structure.

## Properties
**Energy relative to the elements**: 0.070 eV per atom
**Crystal system**: trigonal

a b c (Å): 3.1869 3.1869 31.1045
angles (deg): 90.00 90.00 120.00
Space group R3m (No. 160, hexagonal axes)
One atom of each set of equivalent atoms:
Na (0.0000, 0.0000, 0.0000) (multiplicity 3)
Mg (0.0000, 0.0000, 0.5726) (multiplicity 3)
Mg (0.0000, 0.0000, 0.7604) (multiplicity 3)
Zn (0.0000, 0.0000, 0.1665) (multiplicity 3)

***

Density functional theory data (PBE) for a geometry-optimized InPt2W structure.

## Properties
**Energy relative to the elements**: -0.006 eV per atom
**Crystal system**: orthorhombic

a b c (Å): 2.8203 4.8839 9.9964
angles (deg): 90.00 90.00 90.00
Space group Imm2 (No. 44)
One atom of each set of equivalent atoms:
In (0.0000, 0.0000, 0.0000) (multiplicity 2)
Pt (0.0000, 0.0000, 0.4907) (multiplicity 2)
Pt (0.0000, 0.5000, 0.2437) (multiplicity 2)
W (0.0000, 0.5000, 0.7631) (multiplicity 2)

***

Density functional theory data (PBE) for a geometry-optimized CsUBeSe3 structure.

## Properties
**E_form (uncorrected)**: -1039 meV/atom
**Crystal system**: monoclinic

a b c (Å): 9.9740 4.0089 10.0970
angles (deg): 90.00 113.42 90.00
Space group P2_1/m (No. 11)
One atom of each set of equivalent atoms:
Cs (0.2451, 0.2500, 0.2108) (multiplicity 2)
U (0.1411, 0.2500, 0.6633) (multiplicity 2)
Be (0.3903, 0.7500, 0.9194) (multiplicity 2)
Se (0.1552, 0.7500, 0.8787) (multiplicity 2)
Se (0.1722, 0.7500, 0.4726) (multiplicity 2)
Se (0.4636, 0.2500, 0.8394) (multiplicity 2)

***

Density functional theory data (PBE) for a geometry-optimized MgTl3Cl6 structure.

## Properties
**E_form (uncorrected)**: -1143 meV/atom
**Crystal system**: orthorhombic

a b c (Å): 12.3550 14.9393 7.1367
angles (deg): 90.00 90.00 90.00
Space group Cmc2_1 (No. 36)
One atom of each set of equivalent atoms:
Mg (0.0000, 0.2059, 0.0000) (multiplicity 4)
Tl (0.0000, 0.4169, 0.6522) (multiplicity 4)
Tl (0.1785, 0.1030, 0.5581) (multiplicity 8)
Cl (0.0000, 0.0564, 0.8953) (multiplicity 4)
Cl (0.0000, 0.2184, 0.3250) (multiplicity 4)
Cl (0.1452, 0.2766, 0.8366) (multiplicity 8)
Cl (0.1448, 0.4649, 0.3608) (multiplicity 8)

***

no.,density (g/cm3)
1,1.54
2,8.37
3,2.49
4,16.61
5,5.53
6,4.29